1.
## Sc2CrTc5B2 (PBE)

Data for a geometry-optimized Sc2CrTc5B2 structure.

Lattice parameters (Å, degrees): 9.363 9.363 3.078 90.00 90.00 90.00
Fractional coordinates of all 20 atoms:
Sc1 0.174 0.326 0.000
Sc2 0.326 0.826 0.000
Sc3 0.674 0.174 0.000
Sc4 0.826 0.674 0.000
Cr1 0.000 0.000 0.000
Cr2 0.500 0.500 0.000
Tc1 0.000 0.500 0.500
Tc2 0.067 0.793 0.500
Tc3 0.207 0.067 0.500
Tc4 0.293 0.567 0.500
Tc5 0.433 0.293 0.500
Tc6 0.500 0.000 0.500
Tc7 0.567 0.707 0.500
Tc8 0.707 0.433 0.500
Tc9 0.793 0.933 0.500
Tc10 0.933 0.207 0.500
B1 0.126 0.626 0.000
B2 0.374 0.126 0.000
B3 0.626 0.874 0.000
B4 0.874 0.374 0.000

Properties
Energy relative to the elements in kJ/mol of formula units: -270
Space group: No. 127

***

2.
## LiCo2Ag (PBE)

Data for a geometry-optimized LiCo2Ag structure.

Lattice parameters (Å, degrees): 4.176 4.176 5.942 90.00 90.00 90.00
Fractional coordinates of all 8 atoms:
Li1 0.000 0.000 0.000
Li2 0.500 0.500 0.500
Co1 0.000 0.000 0.500
Co2 0.000 0.500 0.250
Co3 0.500 0.000 0.750
Co4 0.500 0.500 0.000
Ag1 0.000 0.500 0.750
Ag2 0.500 0.000 0.250

Properties
Energy relative to the elements in kJ/mol of formula units: 104
Space group: No. 119

***

3.
## PrErTm5 (PBE)

Data for a geometry-optimized PrErTm5 structure.

Lattice parameters (Å, degrees): 6.682 6.682 12.083 106.43 106.43 60.64
Fractional coordinates of all 14 atoms:
Pr1 0.000 0.500 0.000
Pr2 0.500 0.000 0.500
Er1 0.029 0.971 0.750
Er2 0.971 0.029 0.250
Tm1 0.134 0.420 0.746
Tm2 0.201 0.649 0.502
Tm3 0.351 0.799 0.998
Tm4 0.417 0.583 0.250
Tm5 0.420 0.134 0.246
Tm6 0.580 0.866 0.754
Tm7 0.583 0.417 0.750
Tm8 0.649 0.201 0.002
Tm9 0.799 0.351 0.498
Tm10 0.866 0.580 0.254

Properties
Energy relative to the elements in kJ/mol of formula units: 136
Relative energy among the computed polymorphs in meV/atom: 0
Space group: No. 15

***

4.
## Li4Co (PBE)

Data for a geometry-optimized Li4Co structure.

Lattice parameters (Å, degrees): 5.831 5.831 5.831 90.00 90.00 90.00
Fractional coordinates of all 10 atoms:
Li1 0.250 0.250 0.250
Li2 0.250 0.250 0.750
Li3 0.250 0.750 0.250
Li4 0.250 0.750 0.750
Li5 0.750 0.250 0.250
Li6 0.750 0.250 0.750
Li7 0.750 0.750 0.250
Li8 0.750 0.750 0.750
Co1 0.000 0.000 0.000
Co2 0.500 0.500 0.500

Properties
Energy relative to the elements in kJ/mol of formula units: 221
Relative energy among the computed polymorphs in meV/atom: 0
Space group: No. 229

***

5.
## SbRu4Br (PBE)

Data for a geometry-optimized SbRu4Br structure.

Lattice parameters (Å, degrees): 5.323 5.323 5.323 60.00 60.00 60.00
Fractional coordinates of all 6 atoms:
Sb1 0.000 0.000 0.000
Ru1 0.375 0.375 0.375
Ru2 0.375 0.375 0.876
Ru3 0.375 0.876 0.375
Ru4 0.876 0.375 0.375
Br1 0.750 0.750 0.750

Properties
Formation energy (no corrections) in eV per formula unit: 5.7
Space group: No. 216

***

6.
## Ti3AlIr (PBE)

Data for a geometry-optimized Ti3AlIr structure.

Lattice parameters (Å, degrees): 4.698 5.523 6.677 90.00 109.18 90.00
Fractional coordinates of all 10 atoms:
Ti1 0.127 0.250 0.184
Ti2 0.309 0.003 0.628
Ti3 0.309 0.497 0.628
Ti4 0.691 0.503 0.372
Ti5 0.691 0.997 0.372
Ti6 0.873 0.750 0.816
Al1 0.126 0.750 0.258
Al2 0.874 0.250 0.742
Ir1 0.433 0.750 0.005
Ir2 0.567 0.250 0.995

Properties
Energy relative to the elements in kJ/mol of formula units: -192
Relative energy among the computed polymorphs in meV/atom: 0
Space group: No. 11

***

7.
## K2PmInCl6 (PBE)

Data for a geometry-optimized K2PmInCl6 structure.

Lattice parameters (Å, degrees): 8.118 8.118 8.118 57.22 57.22 57.22
Fractional coordinates of all 10 atoms:
K1 0.000 0.000 0.000
K2 0.490 0.490 0.490
Pm1 0.698 0.698 0.698
In1 0.209 0.209 0.209
Cl1 0.044 0.450 0.809
Cl2 0.346 0.896 0.596
Cl3 0.450 0.809 0.044
Cl4 0.596 0.346 0.896
Cl5 0.809 0.044 0.450
Cl6 0.896 0.596 0.346

Properties
Formation energy (no corrections) in eV per formula unit: -18.8
Space group: No. 146

***

8.
## Ga2CuTc (PBE)

Data for a geometry-optimized Ga2CuTc structure.

Lattice parameters (Å, degrees): 6.703 6.703 5.417 90.00 90.00 90.00
Fractional coordinates of all 16 atoms:
Ga1 0.229 0.250 0.125
Ga2 0.250 0.729 0.375
Ga3 0.250 0.771 0.875
Ga4 0.271 0.250 0.625
Ga5 0.729 0.750 0.625
Ga6 0.750 0.229 0.875
Ga7 0.750 0.271 0.375
Ga8 0.771 0.750 0.125
Cu1 0.000 0.000 0.000
Cu2 0.000 0.500 0.250
Cu3 0.500 0.000 0.750
Cu4 0.500 0.500 0.500
Tc1 0.000 0.000 0.500
Tc2 0.000 0.500 0.750
Tc3 0.500 0.000 0.250
Tc4 0.500 0.500 0.000

Properties
Energy relative to the elements in kJ/mol of formula units: 80
Relative energy among the computed polymorphs in meV/atom: 332
Space group: No. 122

***

9.
## LiZn2Au (PBE)

Data for a geometry-optimized LiZn2Au structure.

Lattice parameters (Å, degrees): 3.863 3.875 8.069 90.00 90.00 90.00
Fractional coordinates of all 8 atoms:
Li1 0.000 0.000 0.000
Li2 0.500 0.500 0.500
Zn1 0.000 0.000 0.500
Zn2 0.000 0.500 0.250
Zn3 0.500 0.000 0.750
Zn4 0.500 0.500 0.000
Au1 0.000 0.500 0.750
Au2 0.500 0.000 0.250

Properties
Energy relative to the elements in kJ/mol of formula units: -127
Relative energy among the computed polymorphs in meV/atom: 32
Space group: No. 44

***

10.
## Nd3Tc (PBE)

Data for a geometry-optimized Nd3Tc structure.

Lattice parameters (Å, degrees): 3.479 3.658 9.713 90.00 90.00 90.00
Fractional coordinates of all 4 atoms:
Nd1 0.000 0.000 0.000
Nd2 0.000 0.500 0.336
Nd3 0.500 0.500 0.706
Tc1 0.500 0.000 0.497

Properties
Energy relative to the elements in kJ/mol of formula units: 151
Space group: No. 25

***

11.
## LaDyNpN3 (PBE)

Data for a geometry-optimized LaDyNpN3 structure.

Lattice parameters (Å, degrees): 7.322 3.657 8.673 90.00 99.72 90.00
Fractional coordinates of all 12 atoms:
La1 0.174 0.250 0.146
La2 0.826 0.750 0.854
Dy1 0.366 0.750 0.852
Dy2 0.634 0.250 0.148
Np1 0.058 0.250 0.590
Np2 0.942 0.750 0.410
N1 0.109 0.250 0.847
N2 0.220 0.750 0.587
N3 0.399 0.750 0.122
N4 0.601 0.250 0.878
N5 0.780 0.250 0.413
N6 0.891 0.750 0.153

Properties
Formation energy (no corrections) in eV per formula unit: -6.3
Space group: No. 11

***

12.
## ZrMnSi2 (PBE)

Data for a geometry-optimized ZrMnSi2 structure.

Lattice parameters (Å, degrees): 6.188 6.188 6.188 90.00 90.00 90.00
Fractional coordinates of all 16 atoms:
Zr1 0.000 0.000 0.000
Zr2 0.000 0.500 0.500
Zr3 0.500 0.000 0.500
Zr4 0.500 0.500 0.000
Mn1 0.000 0.000 0.500
Mn2 0.000 0.500 0.000
Mn3 0.500 0.000 0.000
Mn4 0.500 0.500 0.500
Si1 0.250 0.250 0.250
Si2 0.250 0.250 0.750
Si3 0.250 0.750 0.250
Si4 0.250 0.750 0.750
Si5 0.750 0.250 0.250
Si6 0.750 0.250 0.750
Si7 0.750 0.750 0.250
Si8 0.750 0.750 0.750

Properties
Formation energy (no corrections) in eV per formula unit: -0.3
Space group: No. 225

***

13.
## La3Ge3Pt2 (PBE)

Data for a geometry-optimized La3Ge3Pt2 structure.

Lattice parameters (Å, degrees): 6.008 6.008 15.765 90.00 90.00 137.15
Fractional coordinates of all 16 atoms:
La1 0.085 0.915 0.750
La2 0.364 0.636 0.594
La3 0.364 0.636 0.906
La4 0.636 0.364 0.094
La5 0.636 0.364 0.406
La6 0.915 0.085 0.250
Ge1 0.091 0.909 0.547
Ge2 0.091 0.909 0.953
Ge3 0.203 0.797 0.250
Ge4 0.797 0.203 0.750
Ge5 0.909 0.091 0.047
Ge6 0.909 0.091 0.453
Pt1 0.349 0.651 0.120
Pt2 0.349 0.651 0.380
Pt3 0.651 0.349 0.620
Pt4 0.651 0.349 0.880

Properties
Energy relative to the elements in kJ/mol of formula units: -813
Space group: No. 63

***

14.
## Eu2HoCd (PBE)

Data for a geometry-optimized Eu2HoCd structure.

Lattice parameters (Å, degrees): 5.023 5.023 5.057 90.00 90.00 90.00
Fractional coordinates of all 4 atoms:
Eu1 0.000 0.500 0.000
Eu2 0.500 0.000 0.000
Ho1 0.000 0.000 0.500
Cd1 0.500 0.500 0.500

Properties
Energy relative to the elements in kJ/mol of formula units: -12
Relative energy among the computed polymorphs in meV/atom: 52
Space group: No. 123

***

15.
## SrAs2RhO (PBE)

Data for a geometry-optimized SrAs2RhO structure.

Lattice parameters (Å, degrees): 4.703 4.703 4.177 90.00 90.00 90.00
Fractional coordinates of all 5 atoms:
Sr1 0.000 0.000 0.000
As1 0.000 0.500 0.500
As2 0.500 0.000 0.500
Rh1 0.500 0.500 0.000
O1 0.500 0.500 0.500

Properties
Formation energy (no corrections) in eV per formula unit: -1.1
Space group: No. 123

***

16.
## SiIr (PBE)

Data for a geometry-optimized SiIr structure.

Lattice parameters (Å, degrees): 4.481 4.481 10.050 90.00 90.00 120.00
Fractional coordinates of all 12 atoms:
Si1 0.000 0.000 0.119
Si2 0.000 0.000 0.881
Si3 0.333 0.667 0.547
Si4 0.333 0.667 0.786
Si5 0.667 0.333 0.214
Si6 0.667 0.333 0.453
Ir1 0.000 0.000 0.358
Ir2 0.000 0.000 0.642
Ir3 0.333 0.667 0.024
Ir4 0.333 0.667 0.309
Ir5 0.667 0.333 0.691
Ir6 0.667 0.333 0.976

Properties
Formation energy (no corrections) in eV per formula unit: 0.4
Space group: No. 166

***

17.
## SmDyY2Sc (PBE)

Data for a geometry-optimized SmDyY2Sc structure.

Lattice parameters (Å, degrees): 6.960 6.960 7.122 90.00 90.00 107.69
Fractional coordinates of all 10 atoms:
Sm1 0.232 0.768 0.750
Sm2 0.768 0.232 0.250
Dy1 0.234 0.766 0.250
Dy2 0.766 0.234 0.750
Y1 0.198 0.198 0.000
Y2 0.198 0.198 0.500
Y3 0.802 0.802 0.000
Y4 0.802 0.802 0.500
Sc1 0.496 0.504 0.750
Sc2 0.504 0.496 0.250

Properties
Energy relative to the elements in kJ/mol of formula units: 164
Space group: No. 63

***

18.
## ErScTaO6 (PBE)

Data for a geometry-optimized ErScTaO6 structure.

Lattice parameters (Å, degrees): 5.481 5.481 4.494 90.00 90.00 120.00
Fractional coordinates of all 9 atoms:
Er1 0.000 0.000 0.000
Sc1 0.333 0.667 0.500
Ta1 0.667 0.333 0.000
O1 0.366 0.015 0.761
O2 0.366 0.351 0.239
O3 0.649 0.015 0.239
O4 0.649 0.634 0.761
O5 0.985 0.351 0.761
O6 0.985 0.634 0.239

Properties
Formation energy (no corrections) in eV per formula unit: -26.3
Space group: No. 149

***

19.
## In2ReTc (PBE)

Data for a geometry-optimized In2ReTc structure.

Lattice parameters (Å, degrees): 6.555 6.555 6.555 90.00 90.00 90.00
Fractional coordinates of all 16 atoms:
In1 0.000 0.000 0.000
In2 0.000 0.500 0.500
In3 0.250 0.250 0.250
In4 0.250 0.750 0.750
In5 0.500 0.000 0.500
In6 0.500 0.500 0.000
In7 0.750 0.250 0.750
In8 0.750 0.750 0.250
Re1 0.000 0.000 0.500
Re2 0.000 0.500 0.000
Re3 0.500 0.000 0.000
Re4 0.500 0.500 0.500
Tc1 0.250 0.250 0.750
Tc2 0.250 0.750 0.250
Tc3 0.750 0.250 0.250
Tc4 0.750 0.750 0.750

Properties
Energy relative to the elements in kJ/mol of formula units: 251
Relative energy among the computed polymorphs in meV/atom: 529
Space group: No. 216

***

20.
## K5Tl2Au5 (PBE)

Data for a geometry-optimized K5Tl2Au5 structure.

Lattice parameters (Å, degrees): 9.006 9.006 12.747 129.62 129.62 30.45
Fractional coordinates of all 12 atoms:
K1 0.000 0.000 0.000
K2 0.054 0.054 0.380
K3 0.206 0.206 0.820
K4 0.794 0.794 0.180
K5 0.946 0.946 0.620
Tl1 0.328 0.328 0.671
Tl2 0.672 0.672 0.329
Au1 0.294 0.294 0.388
Au2 0.440 0.440 0.137
Au3 0.500 0.500 0.500
Au4 0.560 0.560 0.863
Au5 0.706 0.706 0.612

Properties
Energy relative to the elements in kJ/mol of formula units: -263
Space group: No. 12

***

21.
## BaOs2Se (PBE)

Data for a geometry-optimized BaOs2Se structure.

Lattice parameters (Å, degrees): 3.022 5.040 5.454 90.00 90.00 90.00
Fractional coordinates of all 4 atoms:
Ba1 0.000 0.000 0.000
Os1 0.000 0.500 0.500
Os2 0.500 0.000 0.500
Se1 0.500 0.500 0.000

Properties
Formation energy (no corrections) in eV per formula unit: 4.3
Space group: No. 47

***

22.
## Ta2NiAu (PBE)

Data for a geometry-optimized Ta2NiAu structure.

Lattice parameters (Å, degrees): 6.414 6.414 6.414 90.00 90.00 90.00
Fractional coordinates of all 16 atoms:
Ta1 0.000 0.000 0.000
Ta2 0.000 0.500 0.500
Ta3 0.250 0.250 0.250
Ta4 0.250 0.750 0.750
Ta5 0.500 0.000 0.500
Ta6 0.500 0.500 0.000
Ta7 0.750 0.250 0.750
Ta8 0.750 0.750 0.250
Ni1 0.000 0.000 0.500
Ni2 0.000 0.500 0.000
Ni3 0.500 0.000 0.000
Ni4 0.500 0.500 0.500
Au1 0.250 0.250 0.750
Au2 0.250 0.750 0.250
Au3 0.750 0.250 0.250
Au4 0.750 0.750 0.750

Properties
Energy relative to the elements in kJ/mol of formula units: 88
Relative energy among the computed polymorphs in meV/atom: 372
Space group: No. 216

***

23.
## Ce2Ge4RuPt3 (PBE)

Data for a geometry-optimized Ce2Ge4RuPt3 structure.

Lattice parameters (Å, degrees): 4.276 4.276 10.326 90.00 90.00 90.00
Fractional coordinates of all 10 atoms:
Ce1 0.000 0.500 0.250
Ce2 0.500 0.000 0.750
Ge1 0.000 0.000 0.000
Ge2 0.000 0.500 0.630
Ge3 0.500 0.000 0.370
Ge4 0.500 0.500 0.000
Ru1 0.000 0.000 0.500
Pt1 0.000 0.500 0.869
Pt2 0.500 0.000 0.131
Pt3 0.500 0.500 0.500

Properties
Energy relative to the elements in kJ/mol of formula units: -829
Space group: No. 115

***

24.
## NpBr6Cl (PBE)

Data for a geometry-optimized NpBr6Cl structure.

Lattice parameters (Å, degrees): 13.554 11.330 5.272 90.00 112.56 90.00
Fractional coordinates of all 16 atoms:
Np1 0.000 0.000 0.000
Np2 0.500 0.500 0.000
Br1 0.030 0.500 0.317
Br2 0.149 0.165 0.146
Br3 0.149 0.835 0.146
Br4 0.351 0.335 0.854
Br5 0.351 0.665 0.854
Br6 0.470 0.000 0.683
Br7 0.530 0.000 0.317
Br8 0.649 0.335 0.146
Br9 0.649 0.665 0.146
Br10 0.851 0.165 0.854
Br11 0.851 0.835 0.854
Br12 0.970 0.500 0.683
Cl1 0.000 0.000 0.500
Cl2 0.500 0.500 0.500

Properties
Formation energy (no corrections) in eV per formula unit: -6.6
Space group: No. 12

***

25.
## LaBeCo2 (PBE)

Data for a geometry-optimized LaBeCo2 structure.

Lattice parameters (Å, degrees): 3.699 4.890 6.701 90.00 90.00 90.00
Fractional coordinates of all 8 atoms:
La1 0.000 0.000 0.000
La2 0.500 0.500 0.500
Be1 0.000 0.000 0.500
Be2 0.500 0.500 0.000
Co1 0.000 0.500 0.197
Co2 0.000 0.500 0.803
Co3 0.500 0.000 0.303
Co4 0.500 0.000 0.697

Properties
Energy relative to the elements in kJ/mol of formula units: 98
Space group: No. 71